1.
VASP calculation (PBE) on a geometry-optimized MnP2ICl structure.

Computed properties:
Magnetization (μB/f.u.): 0.00
DOS(E_F) (states/eV/cell): 4.11
Polymorph energy (0 for the lowest one) (kJ per mole of atoms): 0.0
Uncorrected energy (eV per atom): -4.35
Calculated volume (Å³/cell): 96

Lattice parameters (Å, degrees): 4.5159 4.5159 4.7216 90.00 90.00 90.00
Last column: nearest neighbours and their distance in Å.
Space group P4/mmm (No. 123)
Asymmetric unit:
Mn (0.0000, 0.0000, 0.0000) (multiplicity 1)  4 P 2.26, 2 Cl 2.36
P (0.0000, 0.5000, 0.0000) (multiplicity 2)  2 Mn 2.26
I (0.5000, 0.5000, 0.5000) (multiplicity 1)  4 Cl 3.19, 8 P 3.27
Cl (0.0000, 0.0000, 0.5000) (multiplicity 1)  2 Mn 2.36

2.
VASP calculation (PBE) on a geometry-optimized MnP2ICl structure.

Computed properties:
Magnetization (μB/f.u.): 4.21
DOS(E_F) (states/eV/cell): 5.30
Polymorph energy (0 for the lowest one) (kJ per mole of atoms): 95.0
Uncorrected energy (eV per atom): -3.36
Calculated volume (Å³/cell): 142

Lattice parameters (Å, degrees): 5.2055 5.2055 5.2587 90.00 90.00 90.00
Last column: nearest neighbours and their distance in Å.
Space group P4/mmm (No. 123)
Asymmetric unit:
Mn (0.0000, 0.0000, 0.0000) (multiplicity 1)  4 Cl 3.68, 8 P 3.70
P (0.0000, 0.5000, 0.5000) (multiplicity 2)  2 I 2.60
I (0.5000, 0.5000, 0.5000) (multiplicity 1)  4 P 2.60, 2 Cl 2.63
Cl (0.5000, 0.5000, 0.0000) (multiplicity 1)  2 I 2.63

3.
VASP calculation (PBE) on a geometry-optimized MnPbI2Cl structure.

Computed properties:
Magnetization (μB/f.u.): 0.05
DOS(E_F) (states/eV/cell): 7.64
Uncorrected energy (eV per atom): -3.52
Calculated volume (Å³/cell): 137

Lattice parameters (Å, degrees): 5.6081 5.6081 4.3611 90.00 90.00 90.00
Last column: nearest neighbours and their distance in Å.
Space group P4/mmm (No. 123)
Asymmetric unit:
Mn (0.0000, 0.0000, 0.0000) (multiplicity 1)  2 Cl 2.18
Pb (0.5000, 0.5000, 0.5000) (multiplicity 1)  8 I 3.55, 4 Cl 3.97
I (0.0000, 0.5000, 0.0000) (multiplicity 2)  2 Mn 2.80
Cl (0.0000, 0.0000, 0.5000) (multiplicity 1)  2 Mn 2.18

4.
VASP calculation (PBE) on a geometry-optimized Mn2PbICl structure.

Computed properties:
Magnetization (μB/f.u.): 9.91
DOS(E_F) (states/eV/cell): 1.34
Uncorrected energy (eV per atom): -4.43
Calculated volume (Å³/cell): 180

Lattice parameters (Å, degrees): 5.5054 5.5054 5.9328 90.00 90.00 90.00
Last column: nearest neighbours and their distance in Å.
Space group P4/mmm (No. 123)
Asymmetric unit:
Mn (0.0000, 0.5000, 0.0000) (multiplicity 2)  2 Pb 2.75
Pb (0.0000, 0.0000, 0.0000) (multiplicity 1)  4 Mn 2.75, 2 I 2.97
I (0.0000, 0.0000, 0.5000) (multiplicity 1)  2 Pb 2.97
Cl (0.5000, 0.5000, 0.5000) (multiplicity 1)  4 I 3.89, 8 Mn 4.05

5.
VASP calculation (PBE) on a geometry-optimized MnPb3I6Cl2 structure.

Computed properties:
Magnetization (μB/f.u.): 5.00
DOS(E_F) (states/eV/cell): 0.00
Uncorrected energy (eV per atom): -3.45
Calculated volume (Å³/cell): 956

Lattice parameters (Å, degrees): 15.4891 8.8472 7.0320 90.00 97.16 90.00
Last column: nearest neighbours and their distance in Å.
Space group C2/m (No. 12)
Asymmetric unit:
Mn (0.0000, 0.0000, 0.0000) (multiplicity 2)  6 I 2.85-2.97
Pb (0.0000, 0.5000, 0.5000) (multiplicity 2)  2 Cl 2.96, 4 I 3.31
Pb (0.2500, 0.2500, 0.0000) (multiplicity 4)  2 Cl 2.96, 4 I 3.22-3.24
I (0.0883, 0.2379, 0.2504) (multiplicity 8)  1 Mn 2.97, 2 Pb 3.24-3.31
I (0.1335, 0.0000, 0.7548) (multiplicity 4)  1 Mn 2.85
Cl (0.1634, 0.5000, 0.7690) (multiplicity 4)  3 Pb 2.96

6.
VASP calculation (PBE) on a geometry-optimized RbMnICl2 structure.

Computed properties:
Magnetization (μB/f.u.): 5.00
DOS(E_F) (states/eV/cell): 0.00
Polymorph energy (0 for the lowest one) (kJ per mole of atoms): 0.0
Uncorrected energy (eV per atom): -4.33
Calculated volume (Å³/cell): 402

Lattice parameters (Å, degrees): 8.3469 5.5064 9.0253 90.00 104.16 90.00
Last column: nearest neighbours and their distance in Å.
Space group P2_1/m (No. 11)
Asymmetric unit:
Rb (0.2260, 0.2500, 0.3536) (multiplicity 2)  3 Cl 3.28-3.43
Mn (0.4212, 0.2500, 0.8490) (multiplicity 2)  2 Cl 2.32-2.39
I (0.0928, 0.2500, 0.7407) (multiplicity 2)  1 Mn 2.68
Cl (0.4350, 0.7500, 0.3413) (multiplicity 2)  1 Mn 2.32
Cl (0.4617, 0.7500, 0.8815) (multiplicity 2)  1 Mn 2.39